--- one ---
Pr4TlGa | PBE-GGA | optimized geometry

Summary:
Fermi-level density of states (states/eV/f.u.): 6.93
Mass density (g cm⁻³): 6.99

a = 5.8630 Å, b = 3.9510 Å, c = 8.5901 Å
α = 90.00°, β = 90.12°, γ = 90.00°
With the nearest neighbours (Å) after each atom.
Space group P2/m (No. 10)
Inequivalent atoms, fractional coordinates:
Pr  0.0009  0.0000  0.2271 [2 per cell]  2 Ga 3.07
Pr  0.4990  0.5000  0.7011 [2 per cell]  2 Tl 3.24, 2 Ga 3.39-3.41, 5 Pr 3.46-3.59
Tl  0.5000  0.0000  0.0000 [1 per cell]  8 Pr 3.24-3.52
Ga  0.0000  0.5000  0.5000 [1 per cell]  8 Pr 3.07-3.41



--- two ---
Pr4TlGa | PBE-GGA | optimized geometry

Summary:
Fermi-level density of states (states/eV/f.u.): 9.35
Mass density (g cm⁻³): 6.74

a = 5.2292 Å, b = 5.2292 Å, c = 7.5501 Å
α = 90.00°, β = 90.00°, γ = 90.00°
With the nearest neighbours (Å) after each atom.
Space group P4/mmm (No. 123)
Inequivalent atoms, fractional coordinates:
Pr  0.0000  0.5000  0.2347 [4 per cell]  2 Ga 3.16, 2 Tl 3.29
Tl  0.0000  0.0000  0.5000 [1 per cell]  8 Pr 3.29
Ga  0.5000  0.5000  0.0000 [1 per cell]  8 Pr 3.16



Most stable structure among those shown: two. Next: +0.049 eV/atom.